A relaxed CeAgRh crystal, computed with PBE.

Calculated values
DFT formation energy: -0.467 eV per atom
D(E_F): 8.35 states/eV per cell
Total moment: 0.7 Bohr magnetons per cell
Total energy: -5.8463 eV/atom
Energy above the most stable polymorph in this dataset: 0.0000 eV per atom
Calculated density: 9.2 Mg/m³

a b c (Å): 4.091 5.203 7.491
angles (deg): 117.53 90.00 113.15
Atoms (fractional coordinates):
Ce  0.073  0.145  0.819
Ce  0.927  0.855  0.181
Ag  0.333  0.666  0.450
Ag  0.667  0.334  0.550
Rh  0.340  0.679  0.843
Rh  0.660  0.321  0.157



A relaxed Sr2Al2Ge2Sb crystal, computed with PBE.

Calculated values
Uncorrected formation energy: -3.1 eV/f.u.
D(E_F): 1.84 states/eV per cell
Total moment: 0.0 Bohr magnetons per cell
Total energy: -3.8979 eV/atom
Calculated density: 4.3 Mg/m³

a b c (Å): 4.496 6.011 9.099
angles (deg): 58.96 89.97 68.06
Atoms (fractional coordinates):
Sr  0.567  0.866  0.786
Sr  0.433  0.134  0.214
Al  0.781  0.438  0.631
Al  0.219  0.562  0.369
Ge  0.854  0.291  0.407
Ge  0.146  0.709  0.593
Sb  0.000  0.000  0.000